1.
MgSiSb2Te: optimized geometry, PBE-GGA.

Cell lengths 5.250, 5.250, 5.291 Å; angles 90.00, 90.00, 90.00 degrees
Fractional positions:
Sb 0.000 0.500 0.000
Sb 0.500 0.000 0.000
Si 0.000 0.000 0.000
Te 0.000 0.000 0.500
Mg 0.500 0.500 0.500

Values from the calculation:
Formation energy from raw total energies: 0.448 eV/atom

---

2.
MgSiSbTe2: optimized geometry, PBE-GGA.

Cell lengths 5.422, 5.422, 5.302 Å; angles 90.00, 90.00, 90.00 degrees
Fractional positions:
Sb 0.000 0.000 0.500
Si 0.500 0.500 0.500
Te 0.000 0.500 0.000
Te 0.500 0.000 0.000
Mg 0.000 0.000 0.000

Values from the calculation:
Formation energy from raw total energies: 0.699 eV/atom

---

3.
MgSiSbTe2: optimized geometry, PBE-GGA.

Cell lengths 5.261, 5.261, 5.324 Å; angles 90.00, 90.00, 90.00 degrees
Fractional positions:
Sb 0.000 0.000 0.500
Si 0.000 0.000 0.000
Te 0.000 0.500 0.000
Te 0.500 0.000 0.000
Mg 0.500 0.500 0.500

Values from the calculation:
Formation energy from raw total energies: 0.361 eV/atom

---

4.
MgSiSb2Te: optimized geometry, PBE-GGA.

Cell lengths 5.293, 5.293, 5.488 Å; angles 90.00, 90.00, 90.00 degrees
Fractional positions:
Sb 0.000 0.500 0.000
Sb 0.500 0.000 0.000
Si 0.500 0.500 0.500
Te 0.000 0.000 0.500
Mg 0.000 0.000 0.000

Values from the calculation:
Formation energy from raw total energies: 0.803 eV/atom

---

5.
MgVSi2Sb: optimized geometry, PBE-GGA.

Cell lengths 5.168, 5.142, 5.168 Å; angles 90.00, 90.00, 90.00 degrees
Fractional positions:
Sb 0.000 0.000 0.000
Si 0.000 0.000 0.500
Si 0.500 0.000 0.000
Mg 0.000 0.500 0.000
V 0.500 0.500 0.500

Values from the calculation:
Formation energy from raw total energies: 1.644 eV/atom

---

6.
MgZrSiSb2: optimized geometry, PBE-GGA.

Cell lengths 5.486, 5.526, 5.486 Å; angles 90.00, 90.00, 90.00 degrees
Fractional positions:
Sb 0.000 0.000 0.500
Sb 0.500 0.000 0.000
Si 0.500 0.500 0.500
Mg 0.000 0.500 0.000
Zr 0.000 0.000 0.000

Values from the calculation:
Formation energy from raw total energies: 0.814 eV/atom

---

7.
Sm2MgSb: optimized geometry, PBE-GGA.

Cell lengths 4.300, 4.300, 8.516 Å; angles 75.38, 75.38, 60.00 degrees
Fractional positions:
Sb 0.000 0.000 0.000
Mg 0.500 0.500 0.500
Sm 0.259 0.259 0.222
Sm 0.741 0.741 0.778

Values from the calculation:
Formation energy from raw total energies: -0.433 eV/atom

---

8.
SmMgSb2: optimized geometry, PBE-GGA.

Cell lengths 4.437, 4.437, 7.357 Å; angles 72.45, 72.45, 60.00 degrees
Fractional positions:
Sb 0.255 0.255 0.234
Sb 0.745 0.745 0.766
Mg 0.000 0.000 0.000
Sm 0.500 0.500 0.500

Values from the calculation:
Formation energy from raw total energies: -0.574 eV/atom

---

9.
SmMgSb: optimized geometry, PBE-GGA.

Cell lengths 4.087, 4.726, 4.726 Å; angles 120.00, 90.00, 90.00 degrees
Fractional positions:
Sb 0.169 0.333 0.667
Mg 0.164 0.000 0.000
Sm 0.667 0.667 0.333

Values from the calculation:
Formation energy from raw total energies: -0.601 eV/atom

---

10.
SmMgSb2: optimized geometry, PBE-GGA.

Cell lengths 4.172, 5.017, 5.017 Å; angles 90.00, 90.00, 90.00 degrees
Fractional positions:
Sb 0.000 0.000 0.500
Sb 0.000 0.500 0.000
Mg 0.500 0.500 0.500
Sm 0.500 0.000 0.000

Values from the calculation:
Formation energy from raw total energies: -0.598 eV/atom

---

11.
SmMgSb2: optimized geometry, PBE-GGA.

Cell lengths 4.499, 4.499, 7.248 Å; angles 71.92, 71.92, 60.00 degrees
Fractional positions:
Sm 0.668 0.668 0.995
Mg 0.496 0.496 0.512
Sb 0.089 0.089 0.733
Sb 0.247 0.247 0.260

Values from the calculation:
Formation energy from raw total energies: -0.607 eV/atom

---

12.
SmMg5Sb4: optimized geometry, PBE-GGA.

Cell lengths 4.659, 4.659, 14.648 Å; angles 90.00, 90.00, 120.00 degrees
Fractional positions:
Sm 0.000 0.000 0.000
Mg 0.333 0.667 0.327
Mg 0.667 0.333 0.673
Mg 0.000 0.000 0.500
Mg 0.333 0.667 0.810
Mg 0.667 0.333 0.190
Sb 0.333 0.667 0.124
Sb 0.667 0.333 0.876
Sb 0.333 0.667 0.611
Sb 0.667 0.333 0.389

Values from the calculation:
Formation energy from raw total energies: -0.505 eV/atom

---

13.
Sm5MgSb4: optimized geometry, PBE-GGA.

Cell lengths 6.319, 7.766, 7.766 Å; angles 80.47, 66.00, 66.00 degrees
Fractional positions:
Sm 0.894 0.422 0.791
Sm 0.317 0.791 0.578
Sm 0.685 0.209 0.422
Sm 0.108 0.578 0.209
Sm 0.502 0.000 0.000
Mg 0.002 0.000 0.000
Sb 0.397 0.401 0.807
Sb 0.798 0.807 0.599
Sb 0.204 0.193 0.401
Sb 0.605 0.599 0.193

Values from the calculation:
Formation energy from raw total energies: -0.856 eV/atom

---

14.
SmMg3Sb3: optimized geometry, PBE-GGA.

Cell lengths 8.150, 8.150, 8.753 Å; angles 62.26, 62.26, 60.00 degrees
Fractional positions:
Sm 0.334 0.334 0.999
Sm 0.666 0.666 0.001
Mg 0.443 0.794 0.637
Mg 0.794 0.126 0.637
Mg 0.126 0.443 0.637
Mg 0.874 0.557 0.363
Mg 0.206 0.874 0.363
Mg 0.557 0.206 0.363
Sb 0.260 0.578 0.239
Sb 0.924 0.260 0.239
Sb 0.578 0.924 0.239
Sb 0.422 0.076 0.761
Sb 0.076 0.740 0.761
Sb 0.740 0.422 0.761

Values from the calculation:
Formation energy from raw total energies: -0.591 eV/atom

---

15.
Sm3MgSb2: optimized geometry, PBE-GGA.

Cell lengths 6.295, 8.956, 7.830 Å; angles 106.61, 113.70, 90.00 degrees
Fractional positions:
Sm 0.505 0.250 0.000
Sm 0.495 0.750 0.000
Sm 0.186 0.093 0.371
Sm 0.814 0.407 0.629
Sm 0.186 0.593 0.371
Sm 0.814 0.907 0.629
Mg 0.994 0.750 0.000
Mg 0.006 0.250 0.000
Sb 0.660 0.580 0.320
Sb 0.660 0.080 0.320
Sb 0.340 0.920 0.680
Sb 0.340 0.420 0.680

Values from the calculation:
Formation energy from raw total energies: -0.648 eV/atom

---

16.
Sm2MgSb: optimized geometry, PBE-GGA.

Cell lengths 4.061, 4.061, 6.790 Å; angles 90.00, 90.00, 90.00 degrees
Fractional positions:
Sb 0.500 0.500 0.500
Mg 0.500 0.500 0.000
Sm 0.000 0.000 0.742
Sm 0.000 0.000 0.258

Values from the calculation:
Formation energy from raw total energies: -0.579 eV/atom

---

17.
Sm4MgSb2: optimized geometry, PBE-GGA.

Cell lengths 6.583, 6.654, 9.979 Å; angles 90.00, 98.49, 90.00 degrees
Fractional positions:
Sm 0.539 0.500 0.244
Sm 0.990 0.750 0.788
Sm 0.010 0.250 0.212
Sm 0.539 0.000 0.244
Sm 0.850 0.250 0.544
Sm 0.461 0.000 0.756
Sm 0.461 0.500 0.756
Sm 0.150 0.750 0.456
Mg 0.124 0.750 0.134
Mg 0.876 0.250 0.866
Sb 0.714 0.750 0.012
Sb 0.286 0.250 0.988
Sb 0.320 0.250 0.476
Sb 0.680 0.750 0.524

Values from the calculation:
Formation energy from raw total energies: -0.482 eV/atom

---

18.
SmMgSb2: optimized geometry, PBE-GGA.

Cell lengths 4.413, 4.413, 10.982 Å; angles 90.00, 90.00, 90.00 degrees
Fractional positions:
Sm 0.000 0.500 0.282
Sm 0.500 0.000 0.718
Mg 0.500 0.500 0.000
Mg 0.000 0.000 0.000
Sb 0.500 0.000 0.178
Sb 0.000 0.500 0.822
Sb 0.000 0.000 0.500
Sb 0.500 0.500 0.500

Values from the calculation:
Formation energy from raw total energies: -0.693 eV/atom

---

19.
Sm2MgSb4: optimized geometry, PBE-GGA.

Cell lengths 4.282, 4.282, 11.218 Å; angles 90.00, 90.00, 90.00 degrees
Fractional positions:
Sm 0.500 0.000 0.727
Sm 0.000 0.500 0.273
Mg 0.500 0.500 0.000
Sb 0.500 0.000 0.171
Sb 0.000 0.500 0.829
Sb 0.500 0.500 0.500
Sb 0.000 0.000 0.500

Values from the calculation:
Formation energy from raw total energies: -0.739 eV/atom

---

20.
MgSnSb2: optimized geometry, PBE-GGA.

Cell lengths 5.308, 5.308, 5.308 Å; angles 60.00, 60.00, 60.00 degrees
Fractional positions:
Sb 0.250 0.250 0.250
Sb 0.750 0.750 0.750
Mg 0.000 0.000 0.000
Sn 0.500 0.500 0.500

Values from the calculation:
Formation energy from raw total energies: 0.022 eV/atom

---

Taking the records one at a time from the top gives calculated total energy values of -3.23; -2.79; -3.12; -2.88; -3.49; -3.95; -4.22; -4.21; -4.08; -4.24; -4.25; -3.42; -5.02; -3.72; -4.65; -4.37; -4.58; -4.33; -4.67; -3.44 eV per atom.